This record from Alexandria via LeMat-Bulk describes an optimized crystal structure of AlFeMo2. The functional is PBE-GGA.

abc: 3.1730 3.1730 5.7618
angles: 90.00 90.00 90.00
Sites, in units of the cell vectors:
Al (0.0000, 0.0000, 0.0000)
Fe (0.5000, 0.5000, 0.2270)
Mo (0.0000, 0.0000, 0.4840)
Mo (0.5000, 0.5000, 0.7328)

## Properties
Mass density: 7.864 Mg/m³
Calculated total energy: -33.959 eV/f.u.
Formation energy: -0.09 eV per formula unit